No. 1
VASP calculation (PBE) on a relaxed structure of AlCuMo.

As for the formation energy: 0.104 eV per atom. As for the total energy: -6.12 eV per atom. The calculation puts the spin magnetization at 0.00 μB/cell.

It has space group P-3m1 (No. 164), with a = 2.7817 Å, b = 2.7817 Å, c = 13.1864 Å, α = 90.00°, β = 90.00° and γ = 120.00°. Symmetry generates all atoms from Al at (0.3333, 0.6667, 0.2689), Cu at (0.3333, 0.6667, 0.5769) and Mo at (0.0000, 0.0000, 0.0959).

=====

No. 2
VASP calculation (PBE) on a relaxed structure of AlCuMo2.

As for the formation energy: 0.019 eV per atom. As for the total energy: -7.36 eV per atom. The calculation puts the spin magnetization at 0.00 μB/cell.

It has space group P4mm (No. 99), with a = 3.217 Å, b = 3.217 Å, c = 5.802 Å, α = 90.00°, β = 90.00° and γ = 90.00°. Symmetry generates all atoms from Al at (0.000, 0.000, 0.000), Cu at (0.500, 0.500, 0.218), Mo at (0.000, 0.000, 0.500) and Mo at (0.500, 0.500, 0.720).

=====

No. 3
VASP calculation (PBE) on a relaxed structure of AlCuMo.

As for the formation energy: 0.786 eV per atom. As for the total energy: -5.44 eV per atom. The calculation puts the spin magnetization at 5.78 μB/cell.

It has space group F-43m (No. 216), with a = 5.974 Å, b = 5.974 Å, c = 5.974 Å, α = 90.00°, β = 90.00° and γ = 90.00°. Symmetry generates all atoms from Al at (0.000, 0.000, 0.000), Cu at (0.000, 0.000, 0.500) and Mo at (0.250, 0.250, 0.750).

=====

No. 4
VASP calculation (PBE) on a relaxed structure of Al3CuMo.

As for the formation energy: 0.695 eV per atom. As for the total energy: -4.54 eV per atom. The calculation puts the spin magnetization at 2.19 μB/cell.

It has space group Pm-3m (No. 221), with a = 4.439 Å, b = 4.439 Å, c = 4.439 Å, α = 90.00°, β = 90.00° and γ = 90.00°. Symmetry generates all atoms from Al at (0.000, 0.000, 0.500), Cu at (0.000, 0.000, 0.000) and Mo at (0.500, 0.500, 0.500).

=====

No. 5
VASP calculation (PBE) on a relaxed structure of AlCuMo.

As for the formation energy: -0.023 eV per atom. As for the total energy: -6.25 eV per atom. The calculation puts the spin magnetization at 0.00 μB/cell.

It has space group Fmm2 (No. 42), with a = 3.579 Å, b = 4.050 Å, c = 11.802 Å, α = 90.00°, β = 90.00° and γ = 90.00°. Symmetry generates all atoms from Al at (0.000, 0.000, 0.000), Cu at (0.000, 0.000, 0.655) and Mo at (0.000, 0.000, 0.326).

=====

No. 6
VASP calculation (PBE) on a relaxed structure of Al2CuMo.

As for the formation energy: 0.003 eV per atom. As for the total energy: -5.60 eV per atom. The calculation puts the spin magnetization at 0.00 μB/cell.

It has space group P4mm (No. 99), with a = 2.712 Å, b = 2.712 Å, c = 8.030 Å, α = 90.00°, β = 90.00° and γ = 90.00°. Symmetry generates all atoms from Al at (0.000, 0.000, 0.000), Al at (0.500, 0.500, 0.273), Cu at (0.000, 0.000, 0.497) and Mo at (0.500, 0.500, 0.745).

=====

| no. | D(E_F) (states/eV/f.u.) |
| --- | --- |
| 1 | 1.471 |
| 2 | 4.121 |
| 3 | 4.748 |
| 4 | 2.494 |
| 5 | 1.411 |
| 6 | 2.140 |